Here is a relaxed structure of KTbSc from OQMD. Energies are from PBE-GGA.

Computed properties:
E (eV/cell): -33.770

Cell and atoms, written as CIF:
```
data_KTbSc
_chemical_formula_sum 'K4 Tb4 Sc4'
_space_group_name_H-M_alt 'F -4 3 m'
_space_group_IT_number 216
_space_group_name_Hall 'F -4 2 3'
_cell_length_a 8.090
_cell_length_b 8.090
_cell_length_c 8.090
_cell_angle_alpha 90.00
_cell_angle_beta 90.00
_cell_angle_gamma 90.00
loop_
_atom_site_label
_atom_site_fract_x
_atom_site_fract_y
_atom_site_fract_z
K1 0.000 0.000 0.000
Tb1 0.000 0.000 0.500
Sc1 0.250 0.250 0.250
```

=====

Here is a relaxed structure of ZrAg from OQMD. Energies are from PBE-GGA.

Computed properties:
E (eV/cell): -41.681
Energy of formation from the pure elements (meV/atom): 476

Cell and atoms, written as CIF:
```
data_ZrAg
_chemical_formula_sum 'Zr4 Ag4'
_space_group_name_H-M_alt 'F m -3 m'
_space_group_IT_number 225
_space_group_name_Hall '-F 4 2 3'
_cell_length_a 5.650
_cell_length_b 5.650
_cell_length_c 5.650
_cell_angle_alpha 90.00
_cell_angle_beta 90.00
_cell_angle_gamma 90.00
loop_
_atom_site_label
_atom_site_fract_x
_atom_site_fract_y
_atom_site_fract_z
Zr1 0.000 0.000 0.000
Ag1 0.000 0.000 0.500
```

=====

Here is a relaxed structure of Tb2YTl3AgPd2 from OQMD. Energies are from PBE-GGA.

Computed properties:
E (eV/cell): -81.991

Cell and atoms, written as CIF:
```
data_Tb2YTl3AgPd2
_chemical_formula_sum 'Tb4 Y2 Tl6 Ag2 Pd4'
_space_group_name_H-M_alt 'A m m 2'
_space_group_IT_number 38
_cell_length_a 3.790
_cell_length_b 13.757
_cell_length_c 7.933
_cell_angle_alpha 90.00
_cell_angle_beta 90.00
_cell_angle_gamma 90.00
loop_
_space_group_symop_operation_xyz
'x,y,z'
'-x,-y,z'
'-x,y,z'
'x,-y,z'
'x,y+1/2,z+1/2'
'-x,-y+1/2,z+1/2'
'-x,y+1/2,z+1/2'
'x,-y+1/2,z+1/2'
loop_
_atom_site_label
_atom_site_fract_x
_atom_site_fract_y
_atom_site_fract_z
Tb1 0.000 0.204 0.000
Y1 0.000 0.000 0.610
Tl1 0.500 0.000 0.930
Tl2 0.500 0.136 0.340
Ag1 0.000 0.000 0.203
Pd1 0.500 0.167 0.704
```

=====

Here is a relaxed structure of Pr2Y2CI2Cl3 from OQMD. Energies are from PBE-GGA.

Computed properties:
E (eV/cell): -109.599

Cell and atoms, written as CIF:
```
data_Pr2Y2CI2Cl3
_chemical_formula_sum 'Pr4 Y4 C2 I4 Cl6'
_space_group_name_H-M_alt 'C 1 2/m 1'
_space_group_IT_number 12
_cell_length_a 18.694
_cell_length_b 3.865
_cell_length_c 8.050
_cell_angle_alpha 90.00
_cell_angle_beta 100.46
_cell_angle_gamma 90.00
loop_
_space_group_symop_operation_xyz
'x,y,z'
'-x,-y,-z'
'-x,y,-z'
'x,-y,z'
'x+1/2,y+1/2,z'
'-x+1/2,-y+1/2,-z'
'-x+1/2,y+1/2,-z'
'x+1/2,-y+1/2,z'
loop_
_atom_site_label
_atom_site_fract_x
_atom_site_fract_y
_atom_site_fract_z
Pr1 0.138 0.000 0.075
Y1 0.003 0.500 0.794
C1 0.000 0.000 0.000
I1 0.172 0.500 0.785
Cl1 0.000 0.000 0.500
Cl2 0.142 0.500 0.336
```

=====

Here is a relaxed structure of ZnPtW from OQMD. Energies are from PBE-GGA.

Computed properties:
E (eV/cell): -80.146
Energy of formation from the pure elements (meV/atom): 81

Cell and atoms, written as CIF:
```
data_ZnPtW
_chemical_formula_sum 'Zn4 Pt4 W4'
_space_group_name_H-M_alt 'F -4 3 m'
_space_group_IT_number 216
_space_group_name_Hall 'F -4 2 3'
_cell_length_a 5.953
_cell_length_b 5.953
_cell_length_c 5.953
_cell_angle_alpha 90.00
_cell_angle_beta 90.00
_cell_angle_gamma 90.00
loop_
_atom_site_label
_atom_site_fract_x
_atom_site_fract_y
_atom_site_fract_z
Zn1 0.000 0.000 0.000
Pt1 0.250 0.250 0.750
W1 0.000 0.000 0.500
```

=====

Here is a relaxed structure of PmGaAsO from OQMD. Energies are from PBE-GGA.

Computed properties:
E (eV/cell): -46.189

Cell and atoms, written as CIF:
```
data_PmGaAsO
_chemical_formula_sum 'Pm2 Ga2 As2 O2'
_space_group_name_H-M_alt 'P m c 21'
_space_group_IT_number 26
_cell_length_a 4.544
_cell_length_b 4.631
_cell_length_c 6.810
_cell_angle_alpha 90.00
_cell_angle_beta 90.00
_cell_angle_gamma 90.00
loop_
_space_group_symop_operation_xyz
'x,y,z'
'-x,-y,z+1/2'
'-x,y,z'
'x,-y,z+1/2'
loop_
_atom_site_label
_atom_site_fract_x
_atom_site_fract_y
_atom_site_fract_z
Pm1 0.000 0.198 0.000
Ga1 0.500 0.322 0.335
As1 0.500 0.178 0.689
O1 0.000 0.320 0.342
```

=====

Here is a relaxed structure of AlZn from OQMD. Energies are from PBE-GGA.

Computed properties:
E (eV/cell): -9.772

Cell and atoms, written as CIF:
```
data_AlZn
_chemical_formula_sum 'Al2 Zn2'
_space_group_name_H-M_alt 'P m m n'
_space_group_IT_number 59
_cell_length_a 2.808
_cell_length_b 4.719
_cell_length_c 4.792
_cell_angle_alpha 90.00
_cell_angle_beta 90.00
_cell_angle_gamma 90.00
loop_
_space_group_symop_operation_xyz
'x,y,z'
'-x,-y,-z'
'-x+1/2,-y+1/2,z'
'x+1/2,y+1/2,-z'
'x+1/2,-y,-z'
'-x+1/2,y,z'
'-x,y+1/2,-z'
'x,-y+1/2,z'
loop_
_atom_site_label
_atom_site_fract_x
_atom_site_fract_y
_atom_site_fract_z
Al1 0.250 0.250 0.087
Zn1 0.250 0.750 0.414
```

=====

Here is a relaxed structure of DyAgTeO from OQMD. Energies are from PBE-GGA.

Computed properties:
E (eV/cell): -42.542

Cell and atoms, written as CIF:
```
data_DyAgTeO
_chemical_formula_sum 'Dy2 Ag2 Te2 O2'
_space_group_name_H-M_alt 'P m c 21'
_space_group_IT_number 26
_cell_length_a 4.435
_cell_length_b 6.568
_cell_length_c 6.844
_cell_angle_alpha 90.00
_cell_angle_beta 90.00
_cell_angle_gamma 90.00
loop_
_space_group_symop_operation_xyz
'x,y,z'
'-x,-y,z+1/2'
'-x,y,z'
'x,-y,z+1/2'
loop_
_atom_site_label
_atom_site_fract_x
_atom_site_fract_y
_atom_site_fract_z
Dy1 0.000 0.136 0.000
Ag1 0.500 0.249 0.620
Te1 0.500 0.337 0.224
O1 0.000 0.114 0.691
```